(1)
# NdCd2In | Alexandria via LeMat-Bulk | PBE-GGA | optimized geometry
data_NdCd2In
_cell_length_a 4.873
_cell_length_b 4.606
_cell_length_c 4.606
_cell_angle_alpha 90.00
_cell_angle_beta 90.00
_cell_angle_gamma 90.00
_space_group_name_H-M_alt 'P 1'
_space_group_IT_number 1
loop_
_space_group_symop_operation_xyz
'x,y,z'
loop_
_atom_site_label
_atom_site_type_symbol
_atom_site_fract_x
_atom_site_fract_y
_atom_site_fract_z
_atom_site_occupancy
Nd1 Nd 0.500 0.500 0.500 1
Cd1 Cd 0.000 0.000 0.500 1
Cd2 Cd 0.000 0.500 0.000 1
In1 In 0.500 0.000 0.000 1
# * distance to the lowest polymorph of the same formula: 0 meV per atom
# * space group: P4/mmm, No. 123

***

(2)
# Nd3Cd2In3 | Alexandria via LeMat-Bulk | PBE-GGA | optimized geometry
data_Nd3Cd2In3
_cell_length_a 4.713
_cell_length_b 5.044
_cell_length_c 9.736
_cell_angle_alpha 105.08
_cell_angle_beta 104.01
_cell_angle_gamma 90.00
_space_group_name_H-M_alt 'P 1'
_space_group_IT_number 1
loop_
_space_group_symop_operation_xyz
'x,y,z'
loop_
_atom_site_label
_atom_site_type_symbol
_atom_site_fract_x
_atom_site_fract_y
_atom_site_fract_z
_atom_site_occupancy
Nd1 Nd 0.863 0.364 0.726 1
Nd2 Nd 0.137 0.636 0.274 1
Nd3 Nd 0.000 0.000 0.000 1
In1 In 0.366 0.866 0.731 1
In2 In 0.500 0.500 0.000 1
In3 In 0.634 0.134 0.269 1
Cd1 Cd 0.755 0.756 0.511 1
Cd2 Cd 0.245 0.244 0.489 1
# * distance to the lowest polymorph of the same formula: 39 meV per atom
# * space group: C2/m, No. 12

***

(3)
# Nd6CdIn | Alexandria via LeMat-Bulk | PBE-GGA | optimized geometry
data_Nd6CdIn
_cell_length_a 4.990
_cell_length_b 4.990
_cell_length_c 9.944
_cell_angle_alpha 90.00
_cell_angle_beta 90.00
_cell_angle_gamma 90.00
_space_group_name_H-M_alt 'P 1'
_space_group_IT_number 1
loop_
_space_group_symop_operation_xyz
'x,y,z'
loop_
_atom_site_label
_atom_site_type_symbol
_atom_site_fract_x
_atom_site_fract_y
_atom_site_fract_z
_atom_site_occupancy
Nd1 Nd 0.000 0.500 0.249 1
Nd2 Nd 0.000 0.500 0.751 1
Nd3 Nd 0.500 0.000 0.249 1
Nd4 Nd 0.500 0.000 0.751 1
Nd5 Nd 0.500 0.500 0.500 1
Nd6 Nd 0.500 0.500 0.000 1
Cd1 Cd 0.000 0.000 0.500 1
In1 In 0.000 0.000 0.000 1
# * space group: P4/mmm, No. 123

***

(4)
# Nd7Cd2In2 | Alexandria via LeMat-Bulk | PBE-GGA | optimized geometry
data_Nd7Cd2In2
_cell_length_a 6.892
_cell_length_b 8.372
_cell_length_c 6.892
_cell_angle_alpha 89.99
_cell_angle_beta 110.86
_cell_angle_gamma 90.01
_space_group_name_H-M_alt 'P 1'
_space_group_IT_number 1
loop_
_space_group_symop_operation_xyz
'x,y,z'
loop_
_atom_site_label
_atom_site_type_symbol
_atom_site_fract_x
_atom_site_fract_y
_atom_site_fract_z
_atom_site_occupancy
Nd1 Nd 0.500 0.256 0.500 1
Nd2 Nd 0.000 0.000 0.000 1
Nd3 Nd 0.500 0.291 0.000 1
Nd4 Nd 0.000 0.291 0.500 1
Nd5 Nd 0.500 0.744 0.500 1
Nd6 Nd 0.500 0.709 0.000 1
Nd7 Nd 0.000 0.709 0.500 1
In1 In 0.180 0.500 0.180 1
In2 In 0.820 0.500 0.820 1
Cd1 Cd 0.712 0.000 0.288 1
Cd2 Cd 0.288 0.000 0.712 1
# * space group: Cmmm, No. 65

***

(5)
# Nd6Cd3In | Alexandria via LeMat-Bulk | PBE-GGA | optimized geometry
data_Nd6Cd3In
_cell_length_a 5.429
_cell_length_b 9.584
_cell_length_c 12.029
_cell_angle_alpha 107.37
_cell_angle_beta 90.00
_cell_angle_gamma 90.00
_space_group_name_H-M_alt 'P 1'
_space_group_IT_number 1
loop_
_space_group_symop_operation_xyz
'x,y,z'
loop_
_atom_site_label
_atom_site_type_symbol
_atom_site_fract_x
_atom_site_fract_y
_atom_site_fract_z
_atom_site_occupancy
Cd1 Cd 0.250 0.388 0.785 1
Cd2 Cd 0.750 0.469 0.627 1
Cd3 Cd 0.250 0.770 0.975 1
Cd4 Cd 0.750 0.230 0.025 1
Cd5 Cd 0.250 0.531 0.373 1
Cd6 Cd 0.750 0.612 0.215 1
In1 In 0.750 0.044 0.406 1
In2 In 0.250 0.956 0.594 1
Nd1 Nd 0.250 0.093 0.875 1
Nd2 Nd 0.250 0.260 0.503 1
Nd3 Nd 0.250 0.659 0.676 1
Nd4 Nd 0.250 0.461 0.087 1
Nd5 Nd 0.750 0.341 0.324 1
Nd6 Nd 0.750 0.161 0.697 1
Nd7 Nd 0.750 0.740 0.497 1
Nd8 Nd 0.750 0.539 0.913 1
Nd9 Nd 0.750 0.869 0.843 1
Nd10 Nd 0.250 0.131 0.157 1
Nd11 Nd 0.250 0.839 0.303 1
Nd12 Nd 0.750 0.907 0.125 1
# * space group: P2_1/m, No. 11

***

(6)
# Nd3CdIn2 | Alexandria via LeMat-Bulk | PBE-GGA | optimized geometry
data_Nd3CdIn2
_cell_length_a 3.754
_cell_length_b 3.754
_cell_length_c 12.319
_cell_angle_alpha 90.00
_cell_angle_beta 90.00
_cell_angle_gamma 90.00
_space_group_name_H-M_alt 'P 1'
_space_group_IT_number 1
loop_
_space_group_symop_operation_xyz
'x,y,z'
loop_
_atom_site_label
_atom_site_type_symbol
_atom_site_fract_x
_atom_site_fract_y
_atom_site_fract_z
_atom_site_occupancy
Nd1 Nd 0.000 0.000 0.000 1
Nd2 Nd 0.000 0.000 0.335 1
Nd3 Nd 0.000 0.000 0.665 1
In1 In 0.500 0.500 0.170 1
In2 In 0.500 0.500 0.830 1
Cd1 Cd 0.500 0.500 0.500 1
# * space group: P4/mmm, No. 123

***

(7)
# Nd3Cd2In | Alexandria via LeMat-Bulk | PBE-GGA | optimized geometry
data_Nd3Cd2In
_cell_length_a 3.812
_cell_length_b 3.812
_cell_length_c 11.925
_cell_angle_alpha 90.00
_cell_angle_beta 90.00
_cell_angle_gamma 90.00
_space_group_name_H-M_alt 'P 1'
_space_group_IT_number 1
loop_
_space_group_symop_operation_xyz
'x,y,z'
loop_
_atom_site_label
_atom_site_type_symbol
_atom_site_fract_x
_atom_site_fract_y
_atom_site_fract_z
_atom_site_occupancy
Cd1 Cd 0.500 0.500 0.837 1
Cd2 Cd 0.500 0.500 0.163 1
Nd1 Nd 0.000 0.000 0.000 1
Nd2 Nd 0.000 0.000 0.669 1
Nd3 Nd 0.000 0.000 0.331 1
In1 In 0.500 0.500 0.500 1
# * distance to the lowest polymorph of the same formula: 2 meV per atom
# * space group: P4/mmm, No. 123

***

(8)
# Nd3Cd9In2 | Alexandria via LeMat-Bulk | PBE-GGA | optimized geometry
data_Nd3Cd9In2
_cell_length_a 4.802
_cell_length_b 9.045
_cell_length_c 9.045
_cell_angle_alpha 71.73
_cell_angle_beta 74.60
_cell_angle_gamma 74.60
_space_group_name_H-M_alt 'P 1'
_space_group_IT_number 1
loop_
_space_group_symop_operation_xyz
'x,y,z'
loop_
_atom_site_label
_atom_site_type_symbol
_atom_site_fract_x
_atom_site_fract_y
_atom_site_fract_z
_atom_site_occupancy
Cd1 Cd 0.145 0.576 0.135 1
Cd2 Cd 0.345 0.024 0.285 1
Cd3 Cd 0.855 0.865 0.424 1
Cd4 Cd 0.345 0.285 0.024 1
Cd5 Cd 0.655 0.976 0.715 1
Cd6 Cd 0.655 0.715 0.976 1
Cd7 Cd 0.145 0.135 0.576 1
Cd8 Cd 0.000 0.500 0.500 1
Cd9 Cd 0.855 0.424 0.865 1
Nd1 Nd 0.702 0.298 0.298 1
Nd2 Nd 0.298 0.702 0.702 1
Nd3 Nd 0.000 0.000 0.000 1
In1 In 0.500 0.685 0.315 1
In2 In 0.500 0.315 0.685 1
# * space group: Immm, No. 71

***

Number 1: formation energy -346 meV/atom, volume 25.8 Å³ per atom. Number 2: formation energy -388 meV/atom, volume 27.0 Å³ per atom. Number 3: formation energy -192 meV/atom, volume 30.9 Å³ per atom. Number 4: formation energy -23 meV/atom, volume 33.8 Å³ per atom. Number 5: formation energy -263 meV/atom, volume 29.9 Å³ per atom. Number 6: formation energy -436 meV/atom, volume 28.9 Å³ per atom. Number 7: formation energy -372 meV/atom, volume 28.9 Å³ per atom. Number 8: formation energy -273 meV/atom, volume 25.2 Å³ per atom.